Density functional theory data (PBE) for UTa2Mo after structural relaxation.

extended XYZ file:
```
4
Lattice="-1.347 -1.396 2.707 2.843 -1.638 0.570 2.176 5.060 3.692" Properties=species:S:1:pos:R:3 pbc="T T T"
Mo 0.748 -1.517 1.638
U 1.836 1.013 3.484
Ta 1.655 3.849 2.808
Ta 0.521 1.211 0.883
```

Summary:
- Mass density: 15.7 g cm⁻³
- Excess energy over the best structure of this formula in the dataset: 0.00 eV per formula unit
- Energy relative to the elements: 0.225 eV/atom
- Final energy: -11.231 eV per atom